1.
# LaSc2As, optimized geometry, DFT GGA-PBE
data_LaSc2As
_cell_length_a 3.7516
_cell_length_b 4.7916
_cell_length_c 10.9625
_cell_angle_alpha 90.00
_cell_angle_beta 90.00
_cell_angle_gamma 90.00
_symmetry_space_group_name_H-M 'I m m 2'
_symmetry_Int_Tables_number 44
loop_
_symmetry_equiv_pos_as_xyz
'x,y,z'
'-x,-y,z'
'-x,y,z'
'x,-y,z'
'x+1/2,y+1/2,z+1/2'
'-x+1/2,-y+1/2,z+1/2'
'-x+1/2,y+1/2,z+1/2'
'x+1/2,-y+1/2,z+1/2'
loop_
_atom_site_label
_atom_site_type_symbol
_atom_site_fract_x
_atom_site_fract_y
_atom_site_fract_z
_atom_site_occupancy
La1 La 0.0000 0.0000 0.0000 1
Sc1 Sc 0.0000 0.0000 0.5842 1
Sc2 Sc 0.0000 0.5000 0.7909 1
As1 As 0.0000 0.5000 0.2649 1
# **E_tot**: -24.13 eV per formula unit
# **Magnetization**: 0.00 Bohr magnetons per cell
# **ΔE_f**: -0.47 eV/atom
# **Calculated density**: 5.12 g/cm³

2.
# LaSc2As, optimized geometry, DFT GGA-PBE
data_LaSc2As
_cell_length_a 7.2590
_cell_length_b 7.2590
_cell_length_c 7.2590
_cell_angle_alpha 90.00
_cell_angle_beta 90.00
_cell_angle_gamma 90.00
_symmetry_space_group_name_H-M 'F -4 3 m'
_symmetry_Int_Tables_number 216
_symmetry_space_group_name_Hall 'F -4 2 3'
loop_
_atom_site_label
_atom_site_type_symbol
_atom_site_fract_x
_atom_site_fract_y
_atom_site_fract_z
_atom_site_occupancy
La1 La 0.0000 0.0000 0.0000 1
Sc1 Sc 0.0000 0.0000 0.5000 1
Sc2 Sc 0.2500 0.2500 0.2500 1
As1 As 0.2500 0.2500 0.7500 1
# **E_tot**: -23.16 eV per formula unit
# **Magnetization**: 0.00 Bohr magnetons per cell
# **ΔE_f**: -0.23 eV/atom
# **Calculated density**: 5.27 g/cm³